ZnGa2N after structural relaxation, computed with PBE.

```
ZnGa2N
1.0
5.561 0.000 0.000
0.000 5.561 0.000
0.000 0.000 8.661
Zn Ga N
4 8 4
Direct
0.000 0.000 0.000 Zn
0.000 0.500 0.250 Zn
0.500 0.000 0.750 Zn
0.500 0.500 0.500 Zn
0.173 0.250 0.625 Ga
0.250 0.673 0.875 Ga
0.250 0.827 0.375 Ga
0.327 0.250 0.125 Ga
0.673 0.750 0.125 Ga
0.750 0.173 0.375 Ga
0.750 0.327 0.875 Ga
0.827 0.750 0.625 Ga
0.000 0.000 0.500 N
0.000 0.500 0.750 N
0.500 0.000 0.250 N
0.500 0.500 0.000 N
```

Computed properties:
Calculated volume   16.741 Å³ per atom
Formation energy without anion corrections   129 meV per atom
E above lowest polymorph   0 meV/atom
D(E_F)   5.4 states/eV/cell
Calculated total energy   -3.78 eV per atom
Magnetic moment   0.00 μB/f.u.